one | Entry from Alexandria: a relaxed structure of LiScGe3 (GGA-PBE).

Magnetic moment (μB/cell): 0.00
Theoretical density (g/cm³): 4.74
V (Å³ per cell): 94.45

abc: 4.554 4.554 4.554
angles: 90.00 90.00 90.00
Space group Pm-3m (No. 221)
One atom of each set of equivalent atoms:
Li1 0.000 0.000 0.000 [1 per cell]
Sc1 0.500 0.500 0.500 [1 per cell]
Ge1 0.000 0.000 0.500 [3 per cell]

two | Entry from Alexandria: a relaxed structure of LiScGe3 (GGA-PBE).

Magnetic moment (μB/cell): 0.00
Theoretical density (g/cm³): 4.96
V (Å³ per cell): 361.39

abc: 11.986 5.448 5.535
angles: 90.00 90.00 90.00
Space group Pbcm (No. 57)
One atom of each set of equivalent atoms:
Li1 0.099 0.250 0.000 [4 per cell]
Sc1 0.317 0.008 0.250 [4 per cell]
Ge1 0.100 0.708 0.750 [4 per cell]
Ge2 0.272 0.002 0.750 [4 per cell]
Ge3 0.496 0.750 0.000 [4 per cell]

Quick one: most stable of them? two

one | Entry from Alexandria: a relaxed structure of Li2GeSe3 (GGA-PBE).

Magnetic moment (μB/cell): 0.00
Theoretical density (g/cm³): 3.66
V (Å³ per cell): 587.15

abc: 6.994 12.664 6.850
angles: 90.00 104.58 90.00
Space group Cc (No. 9)
One atom of each set of equivalent atoms:
Li1 0.000 0.093 0.000 [4 per cell]
Li2 0.025 0.252 0.512 [4 per cell]
Ge1 0.040 0.417 0.034 [4 per cell]
Se1 0.385 0.419 0.114 [4 per cell]
Se2 0.397 0.234 0.636 [4 per cell]
Se3 0.402 0.074 0.163 [4 per cell]

two | Entry from Alexandria: a relaxed structure of Li2GeSe3 (GGA-PBE).

Magnetic moment (μB/cell): 0.00
Theoretical density (g/cm³): 3.89
V (Å³ per cell): 551.76

abc: 12.712 6.439 7.392
angles: 90.00 114.23 90.00
Space group C2/c (No. 15)
One atom of each set of equivalent atoms:
Li1 0.144 0.106 0.090 [8 per cell]
Ge1 0.000 0.404 0.250 [4 per cell]
Se1 0.000 0.035 0.250 [4 per cell]
Se2 0.145 0.470 0.646 [8 per cell]

Quick one: most stable of them? one

one | Entry from Alexandria: a relaxed structure of Li2GeSe (GGA-PBE).

Magnetic moment (μB/cell): 0.00
Theoretical density (g/cm³): 3.60
V (Å³ per cell): 305.60

abc: 7.370 7.370 5.626
angles: 90.00 90.00 90.00
Space group I-42d (No. 122)
One atom of each set of equivalent atoms:
Li1 0.208 0.250 0.125 [8 per cell]
Ge1 0.000 0.000 0.500 [4 per cell]
Se1 0.000 0.000 0.000 [4 per cell]

two | Entry from Alexandria: a relaxed structure of Li2GeSe (GGA-PBE).

Magnetic moment (μB/cell): 0.00
Theoretical density (g/cm³): 3.46
V (Å³ per cell): 238.57

abc: 3.2330 3.2330 26.3551
angles: 90.00 90.00 120.00
Space group R-3m (No. 166, hexagonal axes)
One atom of each set of equivalent atoms:
Li1 0.0000 0.0000 0.1022 [6 per cell]
Ge1 0.0000 0.0000 0.0000 [3 per cell]
Se1 0.0000 0.0000 0.5000 [3 per cell]

Quick one: most stable of them? one

one | Entry from Alexandria: a relaxed structure of LiGeSe (GGA-PBE).

Magnetic moment (μB/cell): 0.00
Theoretical density (g/cm³): 3.82
V (Å³ per cell): 137.69

abc: 4.269 4.282 8.684
angles: 89.19 89.76 60.16
Space group P1 (No. 1)
One atom of each set of equivalent atoms:
Li1 0.000 0.000 0.000 [1 per cell]
Li2 0.323 0.368 0.263 [1 per cell]
Ge1 0.002 0.000 0.595 [1 per cell]
Ge2 0.670 0.663 0.681 [1 per cell]
Se1 0.667 0.666 0.959 [1 per cell]
Se2 0.991 0.033 0.318 [1 per cell]

two | Entry from Alexandria: a relaxed structure of LiGeSe (GGA-PBE).

Magnetic moment (μB/cell): 0.00
Theoretical density (g/cm³): 3.79
V (Å³ per cell): 277.75

abc: 7.408 4.303 9.149
angles: 90.00 107.74 90.00
Space group C2/m (No. 12)
One atom of each set of equivalent atoms:
Li1 0.158 0.000 0.367 [4 per cell]
Ge1 0.183 0.500 0.042 [4 per cell]
Se1 0.195 0.000 0.682 [4 per cell]

Quick one: most stable of them? two

one | Entry from Alexandria: a relaxed structure of LiGeSe (GGA-PBE).

Magnetic moment (μB/cell): 0.00
Theoretical density (g/cm³): 3.74
V (Å³ per cell): 140.73

abc: 3.685 3.685 10.361
angles: 90.00 90.00 90.00
Space group I4mm (No. 107)
One atom of each set of equivalent atoms:
Li1 0.000 0.000 0.000 [2 per cell]
Ge1 0.000 0.000 0.711 [2 per cell]
Se1 0.000 0.000 0.484 [2 per cell]

two | Entry from Alexandria: a relaxed structure of LiGeSe (GGA-PBE).

Magnetic moment (μB/cell): 0.00
Theoretical density (g/cm³): 4.30
V (Å³ per cell): 122.58

abc: 3.787 3.787 8.547
angles: 90.07 90.15 90.00
Space group P-1 (No. 2)
One atom of each set of equivalent atoms:
Li1 0.245 0.248 0.145 [2 per cell]
Ge1 0.250 0.250 0.537 [2 per cell]
Se1 0.255 0.252 0.817 [2 per cell]

three | Entry from Alexandria: a relaxed structure of LiGeSe (GGA-PBE).

Magnetic moment (μB/cell): 0.00
Theoretical density (g/cm³): 4.05
V (Å³ per cell): 130.16

abc: 4.351 5.048 6.183
angles: 100.71 95.07 100.45
Space group P1 (No. 1)
One atom of each set of equivalent atoms:
Li1 0.000 0.000 0.000 [1 per cell]
Li2 0.452 0.556 0.070 [1 per cell]
Ge1 0.492 0.910 0.569 [1 per cell]
Ge2 0.917 0.618 0.500 [1 per cell]
Se1 0.550 0.100 0.230 [1 per cell]
Se2 0.905 0.457 0.852 [1 per cell]

Quick one: most stable of them? two

one | Entry from Alexandria: a relaxed structure of LiGeSe (GGA-PBE).

Magnetic moment (μB/cell): 0.00
Theoretical density (g/cm³): 3.85
V (Å³ per cell): 273.64

abc: 7.292 4.355 8.697
angles: 90.00 97.80 90.00
Space group Cm (No. 8)
One atom of each set of equivalent atoms:
Li1 0.000 0.000 0.000 [2 per cell]
Li2 0.047 0.500 0.257 [2 per cell]
Ge1 0.321 0.000 0.673 [2 per cell]
Ge2 0.471 0.500 0.586 [2 per cell]
Se1 0.333 0.000 0.952 [2 per cell]
Se2 0.395 0.500 0.308 [2 per cell]

two | Entry from Alexandria: a relaxed structure of LiGeSe (GGA-PBE).

Magnetic moment (μB/cell): 0.00
Theoretical density (g/cm³): 4.12
V (Å³ per cell): 255.58

abc: 8.226 3.795 8.218
angles: 90.00 95.01 90.00
Space group C2/m (No. 12)
One atom of each set of equivalent atoms:
Li1 0.162 0.000 0.119 [4 per cell]
Ge1 0.152 0.500 0.564 [4 per cell]
Se1 0.127 0.000 0.795 [4 per cell]

Quick one: most stable of them? one

one | Entry from Alexandria: a relaxed structure of LiGeSe3 (GGA-PBE).

Magnetic moment (μB/cell): 0.00
Theoretical density (g/cm³): 4.04
V (Å³ per cell): 129.96

abc: 5.065 5.065 5.065
angles: 90.00 90.00 90.00
Space group Pm-3m (No. 221)
One atom of each set of equivalent atoms:
Li1 0.000 0.000 0.000 [1 per cell]
Ge1 0.500 0.500 0.500 [1 per cell]
Se1 0.000 0.500 0.500 [3 per cell]

two | Entry from Alexandria: a relaxed structure of LiGeSe3 (GGA-PBE).

Magnetic moment (μB/cell): 0.00
Theoretical density (g/cm³): 4.97
V (Å³ per cell): 105.72

abc: 4.728 4.728 4.728
angles: 90.00 90.00 90.00
Space group Pm-3m (No. 221)
One atom of each set of equivalent atoms:
Li1 0.000 0.000 0.000 [1 per cell]
Ge1 0.500 0.500 0.500 [1 per cell]
Se1 0.000 0.000 0.500 [3 per cell]

Quick one: most stable of them? one

one | Entry from Alexandria: a relaxed structure of Li2Si2Ge (GGA-PBE).

Magnetic moment (μB/cell): 0.00
Theoretical density (g/cm³): 2.81
V (Å³ per cell): 168.93

abc: 3.820 3.820 11.576
angles: 90.00 90.00 90.00
Space group I4/mmm (No. 139)
One atom of each set of equivalent atoms:
Li1 0.000 0.500 0.250 [4 per cell]
Si1 0.000 0.000 0.097 [4 per cell]
Ge1 0.000 0.000 0.500 [2 per cell]

two | Entry from Alexandria: a relaxed structure of Li2Si2Ge (GGA-PBE).

Magnetic moment (μB/cell): 0.00
Theoretical density (g/cm³): 3.02
V (Å³ per cell): 156.89

abc: 7.468 7.468 2.813
angles: 90.00 90.00 90.00
Space group P4/mbm (No. 127)
One atom of each set of equivalent atoms:
Li1 0.187 0.313 0.000 [4 per cell]
Si1 0.111 0.611 0.500 [4 per cell]
Ge1 0.000 0.000 0.500 [2 per cell]

Quick one: most stable of them? two

one | Entry from Alexandria: a relaxed structure of LiSmGe2 (GGA-PBE).

Magnetic moment (μB/cell): 0.00
Theoretical density (g/cm³): 6.17
V (Å³ per cell): 325.68

abc: 7.819 3.940 10.571
angles: 90.00 90.00 90.00
Space group Pnma (No. 62)
One atom of each set of equivalent atoms:
Li1 0.014 0.250 0.107 [4 per cell]
Sm1 0.139 0.750 0.364 [4 per cell]
Ge1 0.153 0.750 0.686 [4 per cell]
Ge2 0.226 0.750 0.064 [4 per cell]

two | Entry from Alexandria: a relaxed structure of LiSmGe2 (GGA-PBE).

Magnetic moment (μB/cell): 0.00
Theoretical density (g/cm³): 6.21
V (Å³ per cell): 80.93

abc: 4.362 4.362 4.253
angles: 90.00 90.00 90.00
Space group P4/mmm (No. 123)
One atom of each set of equivalent atoms:
Li1 0.000 0.000 0.000 [1 per cell]
Sm1 0.500 0.500 0.000 [1 per cell]
Ge1 0.000 0.500 0.500 [2 per cell]

three | Entry from Alexandria: a relaxed structure of LiSmGe2 (GGA-PBE).

Magnetic moment (μB/cell): 0.00
Theoretical density (g/cm³): 6.30
V (Å³ per cell): 239.41

abc: 4.2372 4.2372 15.3977
angles: 90.00 90.00 120.00
Space group R-3m (No. 166, hexagonal axes)
One atom of each set of equivalent atoms:
Li1 0.0000 0.0000 0.0000 [3 per cell]
Sm1 0.0000 0.0000 0.5000 [3 per cell]
Ge1 0.0000 0.0000 0.2837 [6 per cell]

Quick one: most stable of them? one

one | Entry from Alexandria: a relaxed structure of LiSmGe2 (GGA-PBE).

Magnetic moment (μB/cell): 0.00
Theoretical density (g/cm³): 6.39
V (Å³ per cell): 78.62

abc: 3.433 3.433 6.672
angles: 90.00 90.00 90.00
Space group P4/mmm (No. 123)
One atom of each set of equivalent atoms:
Li1 0.000 0.000 0.000 [1 per cell]
Sm1 0.000 0.000 0.500 [1 per cell]
Ge1 0.500 0.500 0.199 [2 per cell]

two | Entry from Alexandria: a relaxed structure of LiSmGe2 (GGA-PBE).

Magnetic moment (μB/cell): 0.00
Theoretical density (g/cm³): 6.18
V (Å³ per cell): 325.47

abc: 6.881 4.250 11.129
angles: 90.00 90.00 90.00
Space group Pnma (No. 62)
One atom of each set of equivalent atoms:
Li1 0.140 0.250 0.056 [4 per cell]
Sm1 0.150 0.250 0.342 [4 per cell]
Ge1 0.032 0.250 0.838 [4 per cell]
Ge2 0.168 0.250 0.626 [4 per cell]

Quick one: most stable of them? two

one | Entry from Alexandria: a relaxed structure of Li6SnGe (GGA-PBE).

Magnetic moment (μB/cell): 0.00
Theoretical density (g/cm³): 2.81
V (Å³ per cell): 137.90

abc: 5.8822 5.8822 4.6003
angles: 90.00 90.00 120.00
Space group P-6m2 (No. 187)
One atom of each set of equivalent atoms:
Li1 0.0255 0.5128 0.0000 [3 per cell]
Li2 0.3234 0.1617 0.5000 [3 per cell]
Sn1 0.0000 0.0000 0.0000 [1 per cell]
Ge1 0.3333 0.6667 0.5000 [1 per cell]

two | Entry from Alexandria: a relaxed structure of Li6SnGe (GGA-PBE).

Magnetic moment (μB/cell): 0.00
Theoretical density (g/cm³): 2.94
V (Å³ per cell): 394.99

abc: 4.5412 4.5412 22.1162
angles: 90.00 90.00 120.00
Space group R-3m (No. 166, hexagonal axes)
One atom of each set of equivalent atoms:
Li1 0.0000 0.0000 0.1207 [6 per cell]
Li2 0.0000 0.0000 0.2493 [6 per cell]
Li3 0.0000 0.0000 0.3706 [6 per cell]
Sn1 0.0000 0.0000 0.5000 [3 per cell]
Ge1 0.0000 0.0000 0.0000 [3 per cell]

Quick one: most stable of them? two